Entry 1:
First-principles (GGA-PBEsol) data for a relaxed structure of ScHg2, as listed in Alexandria.

The structure in POSCAR format:
```
ScHg2
1.0
6.1128 0.0000 0.0000
0.0000 4.6615 0.0000
0.0000 0.0000 8.7168
Sc Hg
4 8
Direct
0.1703 0.2500 0.0909
0.3297 0.7500 0.5909
0.6703 0.2500 0.4091
0.8297 0.7500 0.9091
0.0541 0.2500 0.7604
0.1647 0.2500 0.4234
0.3353 0.7500 0.9234
0.4459 0.7500 0.2604
0.5541 0.2500 0.7396
0.6647 0.2500 0.0766
0.8353 0.7500 0.5766
0.9459 0.7500 0.2396
```

Values from the calculation:
The calculation puts the total energy at -3.00 eV per atom. The calculated formation energy is -0.423 eV/atom. The theoretical density is 11.930 g/cm3. The space group is Pnma (62).

---

Entry 2:
First-principles (GGA-PBEsol) data for a relaxed structure of Zr4Co, as listed in Alexandria.

The structure in POSCAR format:
```
Zr4Co
1.0
-1.8267 1.8267 7.9053
1.8267 -1.8267 7.9053
1.8267 1.8267 -7.9053
Zr Co
4 1
Direct
0.0814 0.0814 0.0000
0.2500 0.7500 0.5000
0.7500 0.2500 0.5000
0.9186 0.9186 0.0000
0.5000 0.5000 0.0000
```

Values from the calculation:
For the energy above the most stable polymorph in this dataset, the calculation gives 4.28 eV per formula unit. The calculation puts the total energy at -8.06 eV per atom. The calculated formation energy is 0.762 eV/atom. The theoretical density is 6.670 g/cm3. The space group is I4/mmm (139).

---

Entry 3:
First-principles (GGA-PBEsol) data for a relaxed structure of Sc3NiC4, as listed in Alexandria.

The structure in POSCAR format:
```
Sc3NiC4
1.0
-1.7088 2.1642 5.8808
1.7088 -2.1642 5.8808
1.7088 2.1642 -5.8808
Sc Ni C
3 1 4
Direct
0.0000 0.0000 0.0000
0.3124 0.8124 0.5000
0.6876 0.1876 0.5000
0.5000 0.5000 0.0000
0.0449 0.3766 0.6683
0.2917 0.6234 0.6683
0.7083 0.3766 0.3317
0.9551 0.6234 0.3317
```

Values from the calculation:
The calculation puts the total energy at -8.57 eV per atom. The calculated formation energy is -0.506 eV/atom. The theoretical density is 4.612 g/cm3. The space group is Immm (71).

---

Entry 4:
First-principles (GGA-PBEsol) data for a relaxed structure of BaAl2CoW, as listed in Alexandria.

The structure in POSCAR format:
```
BaAl2CoW
1.0
4.9216 0.0000 0.0000
0.0000 4.9216 0.0000
0.0000 0.0000 5.5023
Ba Al Co W
1 2 1 1
Direct
0.0000 0.0000 0.0000
0.0000 0.5000 0.5000
0.5000 0.0000 0.5000
0.5000 0.5000 0.0000
0.0000 0.0000 0.5000
```

Values from the calculation:
The calculation puts the total energy at -4.93 eV per atom. The calculated formation energy is 1.445 eV/atom. The theoretical density is 5.408 g/cm3. The space group is P4/mmm (123).

---

Entry 5:
First-principles (GGA-PBEsol) data for a relaxed structure of CsBP2Cl, as listed in Alexandria.

The structure in POSCAR format:
```
CsBP2Cl
1.0
7.1719 0.0000 0.0000
0.0000 7.1719 0.0000
0.0000 0.0000 6.3456
Cs B P Cl
1 1 2 1
Direct
0.0000 0.0000 0.0000
0.5000 0.5000 0.5000
0.0000 0.5000 0.0000
0.5000 0.0000 0.0000
0.0000 0.0000 0.5000
```

Values from the calculation:
The calculation puts the total energy at -2.06 eV per atom. The theoretical density is 1.227 g/cm3. For the energy relative to the elements, uncorrected, the calculation gives 2.251 eV per atom. The space group is P4/mmm (123).

---

Entry 6:
First-principles (GGA-PBEsol) data for a relaxed structure of AlN, as listed in Alexandria.

The structure in POSCAR format:
```
AlN
1.0
3.1139 0.0000 0.0000
-1.5570 2.6968 0.0000
0.0000 0.0000 4.9816
Al N
2 2
Direct
0.3333 0.6667 0.0000
0.6667 0.3333 0.5000
0.3333 0.6667 0.6178
0.6667 0.3333 0.1178
```

Values from the calculation:
The calculation puts the total energy at -7.83 eV per atom. The theoretical density is 3.254 g/cm3. For the energy relative to the elements, uncorrected, the calculation gives -1.519 eV per atom. The space group is P6_3mc (186).

---

Entry 7:
First-principles (GGA-PBEsol) data for a relaxed structure of PAu3, as listed in Alexandria.

The structure in POSCAR format:
```
PAu3
1.0
7.4370 0.0000 0.0000
0.0000 7.6189 0.0000
0.0000 0.0000 5.2034
P Au
4 12
Direct
0.2069 0.2500 0.0369
0.2931 0.7500 0.5369
0.7069 0.2500 0.4631
0.7931 0.7500 0.9631
0.0362 0.7500 0.2526
0.2190 0.0625 0.4099
0.2190 0.4375 0.4099
0.2810 0.5625 0.9099
0.2810 0.9375 0.9099
0.4638 0.2500 0.7526
0.5362 0.7500 0.2474
0.7190 0.0625 0.0901
0.7190 0.4375 0.0901
0.7810 0.5625 0.5901
0.7810 0.9375 0.5901
0.9638 0.2500 0.7474
```

Values from the calculation:
For the energy above the most stable polymorph in this dataset, the calculation gives 0.00 eV per formula unit. The calculation puts the total energy at -4.36 eV per atom. The calculated formation energy is 0.027 eV/atom. The theoretical density is 14.010 g/cm3. The space group is Pnma (62).

---

Entry 8:
First-principles (GGA-PBEsol) data for a relaxed structure of Mo4P5O24, as listed in Alexandria.

The structure in POSCAR format:
```
Mo4P5O24
1.0
8.7054 -4.1772 0.0000
8.7054 4.1772 0.0000
-7.2562 0.0000 13.0847
Mo P O
8 10 48
Direct
0.0960 0.7030 0.5129
0.1533 0.5296 0.1859
0.2970 0.9040 0.9871
0.4704 0.8467 0.3141
0.5296 0.1533 0.6859
0.7030 0.0960 0.0129
0.8467 0.4704 0.8141
0.9040 0.2970 0.4871
0.1592 0.8148 0.1021
0.1852 0.8408 0.3979
0.2444 0.2635 0.4607
0.2635 0.2444 0.9607
0.4032 0.5968 0.7500
0.5968 0.4032 0.2500
0.7365 0.7556 0.0393
0.7556 0.7365 0.5393
0.8148 0.1592 0.6021
0.8408 0.1852 0.8979
0.0226 0.0370 0.4237
0.0370 0.0226 0.9237
0.0486 0.3077 0.4293
0.0533 0.2805 0.5996
0.1087 0.3482 0.8779
0.1091 0.7517 0.2900
0.1469 0.4249 0.2459
0.1629 0.6553 0.0996
0.2004 0.3410 0.0614
0.2408 0.4331 0.4747
0.2433 0.7346 0.4750
0.2483 0.8909 0.2100
0.2654 0.7567 0.0250
0.2778 0.6676 0.6542
0.2805 0.0533 0.0996
0.3077 0.0486 0.9293
0.3324 0.7222 0.8458
0.3410 0.2004 0.5614
0.3447 0.8371 0.4004
0.3482 0.1087 0.3779
0.4096 0.4357 0.2366
0.4249 0.1469 0.7459
0.4331 0.2408 0.9747
0.4357 0.4096 0.7366
0.5643 0.5904 0.2634
0.5669 0.7592 0.0253
0.5751 0.8531 0.2541
0.5904 0.5643 0.7634
0.6518 0.8913 0.6221
0.6553 0.1629 0.5996
0.6590 0.7996 0.4386
0.6676 0.2778 0.1542
0.6923 0.9514 0.0707
0.7195 0.9467 0.9004
0.7222 0.3324 0.3458
0.7346 0.2433 0.9750
0.7517 0.1091 0.7900
0.7567 0.2654 0.5250
0.7592 0.5669 0.5253
0.7996 0.6590 0.9386
0.8371 0.3447 0.9004
0.8531 0.5751 0.7541
0.8909 0.2483 0.7100
0.8913 0.6518 0.1221
0.9467 0.7195 0.4004
0.9514 0.6923 0.5707
0.9630 0.9774 0.0763
0.9774 0.9630 0.5763
```

Values from the calculation:
The calculation puts the total energy at -8.18 eV per atom. The theoretical density is 3.220 g/cm3. For the energy relative to the elements, uncorrected, the calculation gives -2.063 eV per atom. The space group is C2/c (15).

---

Entry 9:
First-principles (GGA-PBEsol) data for a relaxed structure of ScTlHg2, as listed in Alexandria.

The structure in POSCAR format:
```
ScTlHg2
1.0
5.0693 -1.7244 0.0000
5.0693 1.7244 0.0000
-1.2765 0.0000 5.1479
Sc Tl Hg
1 1 2
Direct
0.0000 0.0000 0.0000
0.5000 0.5000 0.5000
0.2584 0.2584 0.7657
0.7416 0.7416 0.2343
```

Values from the calculation:
The calculation puts the total energy at -2.82 eV per atom. The calculated formation energy is -0.226 eV/atom. The theoretical density is 12.002 g/cm3. The space group is C2/m (12).

---

Entry 10:
First-principles (GGA-PBEsol) data for a relaxed structure of CaTiMoP3O12, as listed in Alexandria.

The structure in POSCAR format:
```
CaTiMoP3O12
1.0
4.3350 2.5028 7.2868
-4.3350 2.5028 7.2868
0.0000 -5.0056 7.2868
Ca Ti Mo P O
2 2 2 6 24
Direct
0.0000 0.0000 0.0000
0.5000 0.5000 0.5000
0.3534 0.3534 0.3534
0.8534 0.8534 0.8534
0.1434 0.1434 0.1434
0.6434 0.6434 0.6434
0.0423 0.4624 0.7447
0.2447 0.9624 0.5423
0.4624 0.7447 0.0423
0.5423 0.2447 0.9624
0.7447 0.0423 0.4624
0.9624 0.5423 0.2447
0.0020 0.6246 0.7970
0.0664 0.2715 0.9087
0.0757 0.9462 0.7293
0.1246 0.5020 0.2970
0.1985 0.9928 0.3829
0.2293 0.4462 0.5757
0.2715 0.9087 0.0664
0.2970 0.1246 0.5020
0.3829 0.1985 0.9928
0.4087 0.7715 0.5664
0.4462 0.5757 0.2293
0.4928 0.6985 0.8829
0.5020 0.2970 0.1246
0.5664 0.4087 0.7715
0.5757 0.2293 0.4462
0.6246 0.7970 0.0020
0.6985 0.8829 0.4928
0.7293 0.0757 0.9462
0.7715 0.5664 0.4087
0.7970 0.0020 0.6246
0.8829 0.4928 0.6985
0.9087 0.0664 0.2715
0.9462 0.7293 0.0757
0.9928 0.3829 0.1985
```

Values from the calculation:
The calculation puts the total energy at -8.14 eV per atom. The theoretical density is 3.282 g/cm3. For the energy relative to the elements, uncorrected, the calculation gives -2.442 eV per atom. The space group is R3c (161).

---

Entry 11:
First-principles (GGA-PBEsol) data for a relaxed structure of SrLiPt4, as listed in Alexandria.

The structure in POSCAR format:
```
SrLiPt4
1.0
0.0000 3.7816 3.7816
3.7816 0.0000 3.7816
3.7816 3.7816 0.0000
Sr Li Pt
1 1 4
Direct
0.0000 0.0000 0.0000
0.2500 0.2500 0.2500
0.1263 0.6246 0.6246
0.6246 0.1263 0.6246
0.6246 0.6246 0.1263
0.6246 0.6246 0.6246
```

Values from the calculation:
The calculation puts the total energy at -5.93 eV per atom. The calculated formation energy is -0.656 eV/atom. The theoretical density is 13.432 g/cm3. The space group is F-43m (216).

---

Entry 12:
First-principles (GGA-PBEsol) data for a relaxed structure of As2SIBr, as listed in Alexandria.

The structure in POSCAR format:
```
As2SIBr
1.0
4.9663 0.0000 0.0000
0.0000 4.9663 0.0000
0.0000 0.0000 4.8834
As S I Br
2 1 1 1
Direct
0.0000 0.5000 0.0000
0.5000 0.0000 0.0000
0.0000 0.0000 0.0000
0.5000 0.5000 0.5000
0.0000 0.0000 0.5000
```

Values from the calculation:
The calculation puts the total energy at -3.08 eV per atom. The theoretical density is 5.359 g/cm3. For the energy relative to the elements, uncorrected, the calculation gives 0.568 eV per atom. The space group is P4/mmm (123).

---

Entry 13:
First-principles (GGA-PBEsol) data for a relaxed structure of AlZn, as listed in Alexandria.

The structure in POSCAR format:
```
AlZn
1.0
5.3319 -1.4066 0.0000
5.3319 1.4066 0.0000
-1.8009 0.0000 6.1731
Al Zn
3 3
Direct
0.0000 0.0000 0.0000
0.0543 0.0543 0.6040
0.6728 0.6728 0.3324
0.3352 0.3352 0.6686
0.3867 0.3867 0.2705
0.7226 0.7226 0.9375
```

Values from the calculation:
The calculation puts the total energy at -2.77 eV per atom. The calculated formation energy is 0.068 eV/atom. The theoretical density is 4.971 g/cm3. The space group is Cm (8).

---

Entry 14:
First-principles (GGA-PBEsol) data for a relaxed structure of CdPtAu2, as listed in Alexandria.

The structure in POSCAR format:
```
CdPtAu2
1.0
2.9016 0.0000 0.0000
0.0000 2.9016 0.0000
0.0000 0.0000 7.9995
Cd Pt Au
1 1 2
Direct
0.0000 0.0000 0.0000
0.5000 0.5000 0.2414
0.0000 0.0000 0.4838
0.5000 0.5000 0.7378
```

Values from the calculation:
The calculation puts the total energy at -4.11 eV per atom. The calculated formation energy is -0.113 eV/atom. The theoretical density is 17.294 g/cm3. The space group is P4mm (99).

---

Entry 15:
First-principles (GGA-PBEsol) data for a relaxed structure of Cd2InAg, as listed in Alexandria.

The structure in POSCAR format:
```
Cd2InAg
1.0
-2.1448 2.1448 4.3852
2.1448 -2.1448 4.3852
2.1448 2.1448 -4.3852
Cd In Ag
2 1 1
Direct
0.2500 0.7500 0.5000
0.7500 0.2500 0.5000
0.0000 0.0000 0.0000
0.5000 0.5000 0.0000
```

Values from the calculation:
The calculation puts the total energy at -2.16 eV per atom. The calculated formation energy is 0.009 eV/atom. The theoretical density is 9.209 g/cm3. The space group is I4/mmm (139).

---

Entry 16:
First-principles (GGA-PBEsol) data for a relaxed structure of InReHg, as listed in Alexandria.

The structure in POSCAR format:
```
InReHg
1.0
0.0000 3.1695 3.1695
3.1695 0.0000 3.1695
3.1695 3.1695 0.0000
In Re Hg
1 1 1
Direct
0.0000 0.0000 0.0000
0.2500 0.2500 0.2500
0.7500 0.7500 0.7500
```

Values from the calculation:
For the energy above the most stable polymorph in this dataset, the calculation gives 0.00 eV per formula unit. The calculation puts the total energy at -4.30 eV per atom. The calculated formation energy is 1.325 eV/atom. The theoretical density is 13.080 g/cm3. The space group is F-43m (216).

---

Entry 17:
First-principles (GGA-PBEsol) data for a relaxed structure of Sr2LaCr, as listed in Alexandria.

The structure in POSCAR format:
```
Sr2LaCr
1.0
3.8499 0.0000 0.0000
0.0000 3.8499 0.0000
0.0000 0.0000 9.7484
Sr La Cr
2 1 1
Direct
0.0000 0.0000 0.0000
0.5000 0.5000 0.3368
0.0000 0.0000 0.6311
0.5000 0.5000 0.7860
```

Values from the calculation:
For the energy above the most stable polymorph in this dataset, the calculation gives 0.00 eV per formula unit. The calculation puts the total energy at -4.40 eV per atom. The calculated formation energy is 0.422 eV/atom. The theoretical density is 4.208 g/cm3. The space group is P4mm (99).

---

Entry 18:
First-principles (GGA-PBEsol) data for a relaxed structure of Cu3Ni, as listed in Alexandria.

The structure in POSCAR format:
```
Cu3Ni
1.0
1.3276 -2.0329 0.0000
1.3276 2.0329 0.0000
0.0000 0.0000 8.1682
Cu Ni
3 1
Direct
0.0000 0.0000 0.0000
0.5000 0.5000 0.2529
0.5000 0.5000 0.7471
0.0000 0.0000 0.5000
```

Values from the calculation:
The calculation puts the total energy at -4.74 eV per atom. The calculated formation energy is 0.048 eV/atom. The theoretical density is 9.390 g/cm3. The space group is Cmmm (65).

---

Entry 19:
First-principles (GGA-PBEsol) data for a relaxed structure of EuAgO2, as listed in Alexandria.

The structure in POSCAR format:
```
EuAgO2
1.0
3.1275 -1.8058 0.0000
3.1275 1.8058 0.0000
-2.0573 0.0000 6.0864
Eu Ag O
1 1 2
Direct
0.0000 0.0000 0.0000
0.5000 0.5000 0.5000
0.3892 0.3892 0.1698
0.6108 0.6108 0.8302
```

Values from the calculation:
The calculation puts the total energy at -7.92 eV per atom. The theoretical density is 7.049 g/cm3. For the energy relative to the elements, uncorrected, the calculation gives -1.829 eV per atom. The space group is C2/m (12).

---

Entry 20:
First-principles (GGA-PBEsol) data for a relaxed structure of ReSiTe3, as listed in Alexandria.

The structure in POSCAR format:
```
ReSiTe3
1.0
5.0959 0.0000 0.0000
0.0000 5.0959 0.0000
0.0000 0.0000 5.0959
Re Si Te
1 1 3
Direct
0.0000 0.0000 0.0000
0.5000 0.5000 0.5000
0.0000 0.5000 0.5000
0.5000 0.0000 0.5000
0.5000 0.5000 0.0000
```

Values from the calculation:
For the energy above the most stable polymorph in this dataset, the calculation gives 2.44 eV per formula unit. The calculation puts the total energy at -4.43 eV per atom. The theoretical density is 7.492 g/cm3. For the energy relative to the elements, uncorrected, the calculation gives 1.497 eV per atom. The space group is Pm-3m (221).